Entry 1:
## ScFeSi2Ni (PBE)

Data for ScFeSi2Ni after structural relaxation.

Computed properties:
- Calculated total energy: -35.0 eV/f.u.
- Spin magnetization: 0.0 μB per formula unit
- Volume: 69.4 Å³/cell
- Uncorrected formation energy: -717 meV/atom
- Space-group type: I-4m2

CIF file:
```
data_ScFeSi2Ni
_chemical_formula_sum 'Sc1 Fe1 Si2 Ni1'
_space_group_name_H-M_alt 'P 1'
_space_group_IT_number 1
_cell_length_a 5.530
_cell_length_b 5.530
_cell_length_c 5.530
_cell_angle_alpha 139.97
_cell_angle_beta 139.97
_cell_angle_gamma 57.90
loop_
_space_group_symop_operation_xyz
'x,y,z'
loop_
_atom_site_label
_atom_site_type_symbol
_atom_site_fract_x
_atom_site_fract_y
_atom_site_fract_z
Sc1 Sc 0.000 0.000 0.000
Fe1 Fe 0.250 0.750 0.500
Si1 Si 0.377 0.377 0.000
Si2 Si 0.623 0.623 0.000
Ni1 Ni 0.750 0.250 0.500
```

---

Entry 2:
## Sc2ZnFe2Ni5 (PBE)

Data for Sc2ZnFe2Ni5 after structural relaxation.

Computed properties:
- Calculated total energy: -61.7 eV/f.u.
- Spin magnetization: 5.4 μB per formula unit
- Energy of formation from the pure elements: -190 meV/atom
- Volume: 269.7 Å³/cell
- Space-group type: P4/mbm

CIF file:
```
data_Sc2ZnFe2Ni5
_chemical_formula_sum 'Sc4 Zn2 Fe4 Ni10'
_space_group_name_H-M_alt 'P 1'
_space_group_IT_number 1
_cell_length_a 8.506
_cell_length_b 8.506
_cell_length_c 3.728
_cell_angle_alpha 90.00
_cell_angle_beta 90.00
_cell_angle_gamma 90.00
loop_
_space_group_symop_operation_xyz
'x,y,z'
loop_
_atom_site_label
_atom_site_type_symbol
_atom_site_fract_x
_atom_site_fract_y
_atom_site_fract_z
Sc1 Sc 0.178 0.322 0.000
Sc2 Sc 0.322 0.822 0.000
Sc3 Sc 0.678 0.178 0.000
Sc4 Sc 0.822 0.678 0.000
Zn1 Zn 0.000 0.000 0.000
Zn2 Zn 0.500 0.500 0.000
Fe1 Fe 0.121 0.621 0.000
Fe2 Fe 0.379 0.121 0.000
Fe3 Fe 0.621 0.879 0.000
Fe4 Fe 0.879 0.379 0.000
Ni1 Ni 0.000 0.500 0.500
Ni2 Ni 0.065 0.793 0.500
Ni3 Ni 0.207 0.065 0.500
Ni4 Ni 0.293 0.565 0.500
Ni5 Ni 0.435 0.293 0.500
Ni6 Ni 0.500 0.000 0.500
Ni7 Ni 0.565 0.707 0.500
Ni8 Ni 0.707 0.435 0.500
Ni9 Ni 0.793 0.935 0.500
Ni10 Ni 0.935 0.207 0.500
```

---

Entry 3:
## FeNiSe (PBE)

Data for FeNiSe after structural relaxation.

Computed properties:
- Calculated total energy: -17.5 eV/f.u.
- Spin magnetization: 0.0 μB per formula unit
- Volume: 79.2 Å³/cell
- Uncorrected formation energy: 64 meV/atom
- Offset from the most stable computed form: 0 meV/atom
- Space-group type: R-3m

CIF file:
```
data_FeNiSe
_chemical_formula_sum 'Fe2 Ni2 Se2'
_space_group_name_H-M_alt 'P 1'
_space_group_IT_number 1
_cell_length_a 6.546
_cell_length_b 6.546
_cell_length_c 6.546
_cell_angle_alpha 34.25
_cell_angle_beta 34.25
_cell_angle_gamma 34.25
loop_
_space_group_symop_operation_xyz
'x,y,z'
loop_
_atom_site_label
_atom_site_type_symbol
_atom_site_fract_x
_atom_site_fract_y
_atom_site_fract_z
Fe1 Fe 0.213 0.213 0.213
Fe2 Fe 0.787 0.787 0.787
Ni1 Ni 0.372 0.372 0.372
Ni2 Ni 0.628 0.628 0.628
Se1 Se 0.089 0.089 0.089
Se2 Se 0.911 0.911 0.911
```

---

Entry 4:
## Fe3NiSe (PBE)

Data for Fe3NiSe after structural relaxation.

Computed properties:
- Calculated total energy: -30.1 eV/f.u.
- Spin magnetization: 8.0 μB per formula unit
- Volume: 81.6 Å³/cell
- Uncorrected formation energy: 901 meV/atom
- Offset from the most stable computed form: 64 meV/atom
- Space-group type: Pm-3m

CIF file:
```
data_Fe3NiSe
_chemical_formula_sum 'Fe3 Ni1 Se1'
_space_group_name_H-M_alt 'P 1'
_space_group_IT_number 1
_cell_length_a 4.338
_cell_length_b 4.338
_cell_length_c 4.338
_cell_angle_alpha 90.00
_cell_angle_beta 90.00
_cell_angle_gamma 90.00
loop_
_space_group_symop_operation_xyz
'x,y,z'
loop_
_atom_site_label
_atom_site_type_symbol
_atom_site_fract_x
_atom_site_fract_y
_atom_site_fract_z
Fe1 Fe 0.000 0.000 0.500
Fe2 Fe 0.000 0.500 0.000
Fe3 Fe 0.500 0.000 0.000
Ni1 Ni 0.500 0.500 0.500
Se1 Se 0.000 0.000 0.000
```

---

Entry 5:
## FeNiSe (PBE)

Data for FeNiSe after structural relaxation.

Computed properties:
- Calculated total energy: -17.1 eV/f.u.
- Spin magnetization: 3.4 μB per formula unit
- Volume: 43.0 Å³/cell
- Uncorrected formation energy: 203 meV/atom
- Offset from the most stable computed form: 139 meV/atom
- Space-group type: P3m1

CIF file:
```
data_FeNiSe
_chemical_formula_sum 'Fe1 Ni1 Se1'
_space_group_name_H-M_alt 'P 1'
_space_group_IT_number 1
_cell_length_a 3.913
_cell_length_b 3.913
_cell_length_c 3.246
_cell_angle_alpha 90.00
_cell_angle_beta 90.00
_cell_angle_gamma 120.00
loop_
_space_group_symop_operation_xyz
'x,y,z'
loop_
_atom_site_label
_atom_site_type_symbol
_atom_site_fract_x
_atom_site_fract_y
_atom_site_fract_z
Fe1 Fe 0.000 0.000 0.000
Ni1 Ni 0.333 0.667 0.436
Se1 Se 0.667 0.333 0.581
```

---

Entry 6:
## FeNiSe2 (PBE)

Data for FeNiSe2 after structural relaxation.

Computed properties:
- Calculated total energy: -20.6 eV/f.u.
- Spin magnetization: 1.8 μB per formula unit
- Volume: 58.2 Å³/cell
- Uncorrected formation energy: 149 meV/atom
- Offset from the most stable computed form: 414 meV/atom
- Space-group type: P4/mmm

CIF file:
```
data_FeNiSe2
_chemical_formula_sum 'Fe1 Ni1 Se2'
_space_group_name_H-M_alt 'P 1'
_space_group_IT_number 1
_cell_length_a 3.081
_cell_length_b 3.081
_cell_length_c 6.128
_cell_angle_alpha 90.00
_cell_angle_beta 90.00
_cell_angle_gamma 90.00
loop_
_space_group_symop_operation_xyz
'x,y,z'
loop_
_atom_site_label
_atom_site_type_symbol
_atom_site_fract_x
_atom_site_fract_y
_atom_site_fract_z
Fe1 Fe 0.000 0.000 0.000
Ni1 Ni 0.000 0.000 0.500
Se1 Se 0.500 0.500 0.246
Se2 Se 0.500 0.500 0.754
```

---

Entry 7:
## FeNiSe3 (PBE)

Data for FeNiSe3 after structural relaxation.

Computed properties:
- Calculated total energy: -21.2 eV/f.u.
- Spin magnetization: 1.4 μB per formula unit
- Volume: 103.6 Å³/cell
- Uncorrected formation energy: 693 meV/atom
- Offset from the most stable computed form: 903 meV/atom
- Space-group type: Pm-3m

CIF file:
```
data_FeNiSe3
_chemical_formula_sum 'Fe1 Ni1 Se3'
_space_group_name_H-M_alt 'P 1'
_space_group_IT_number 1
_cell_length_a 4.696
_cell_length_b 4.696
_cell_length_c 4.696
_cell_angle_alpha 90.00
_cell_angle_beta 90.00
_cell_angle_gamma 90.00
loop_
_space_group_symop_operation_xyz
'x,y,z'
loop_
_atom_site_label
_atom_site_type_symbol
_atom_site_fract_x
_atom_site_fract_y
_atom_site_fract_z
Fe1 Fe 0.000 0.000 0.000
Ni1 Ni 0.500 0.500 0.500
Se1 Se 0.000 0.000 0.500
Se2 Se 0.000 0.500 0.000
Se3 Se 0.500 0.000 0.000
```

---

Entry 8:
## FeNiSe2 (PBE)

Data for FeNiSe2 after structural relaxation.

Computed properties:
- Calculated total energy: -22.0 eV/f.u.
- Spin magnetization: 3.3 μB per formula unit
- Volume: 80.7 Å³/cell
- Uncorrected formation energy: -190 meV/atom
- Offset from the most stable computed form: 75 meV/atom
- Space-group type: Immm

CIF file:
```
data_FeNiSe2
_chemical_formula_sum 'Fe1 Ni1 Se2'
_space_group_name_H-M_alt 'P 1'
_space_group_IT_number 1
_cell_length_a 6.609
_cell_length_b 6.609
_cell_length_c 6.609
_cell_angle_alpha 148.84
_cell_angle_beta 147.19
_cell_angle_gamma 45.88
loop_
_space_group_symop_operation_xyz
'x,y,z'
loop_
_atom_site_label
_atom_site_type_symbol
_atom_site_fract_x
_atom_site_fract_y
_atom_site_fract_z
Fe1 Fe 0.000 0.000 0.000
Ni1 Ni 0.500 0.500 0.000
Se1 Se 0.369 0.869 0.500
Se2 Se 0.631 0.131 0.500
```

---

Q: Among the records above, which one has the highest volume?
A: Sc2ZnFe2Ni5

---

Q: Among the records above, which one has the lowest volume?
A: number 5